# 1
Entry from the Alexandria database: PtSeN2 at its PBEsol-relaxed geometry (SCAN).

abc: 6.345 6.345 6.345
angles: 139.54 139.54 58.56
Atoms (fractional coordinates):
Pt1 0.000 0.000 0.000
Pt2 0.750 0.250 0.500
Se1 0.250 0.750 0.500
Se2 0.500 0.500 0.000
N1 0.117 0.625 0.992
N2 0.375 0.367 0.492
N3 0.633 0.125 0.008
N4 0.875 0.883 0.508

# 2
Entry from the Alexandria database: SnPtSe2N at its PBEsol-relaxed geometry (SCAN).

abc: 5.212 5.212 3.822
angles: 90.00 90.00 90.00
Atoms (fractional coordinates):
Sn1 0.000 0.000 0.000
Pt1 0.500 0.500 0.500
Se1 0.000 0.500 0.000
Se2 0.500 0.000 0.000
N1 0.000 0.000 0.500

# 3
Entry from the Alexandria database: TiPtSe2N at its PBEsol-relaxed geometry (SCAN).

abc: 4.954 4.954 3.601
angles: 90.00 90.00 90.00
Atoms (fractional coordinates):
Ti1 0.000 0.000 0.000
Pt1 0.500 0.500 0.500
Se1 0.000 0.500 0.000
Se2 0.500 0.000 0.000
N1 0.000 0.000 0.500

# 4
Entry from the Alexandria database: TlPtSe2N at its PBEsol-relaxed geometry (SCAN).

abc: 5.303 5.303 3.637
angles: 90.00 90.00 90.00
Atoms (fractional coordinates):
Tl1 0.000 0.000 0.000
Pt1 0.500 0.500 0.500
Se1 0.000 0.500 0.500
Se2 0.500 0.000 0.500
N1 0.500 0.500 0.000

The calculation returns the following VASP energy values, one per record and in order: -0.94948; -1.09574; -0.98668; -1.39943 Ha/atom.
The calculation returns the following calculated volume values, one per record and in order: 13.32; 20.76; 17.68; 20.45 Å³/atom.